The following is a GGA+U calculation of Na2WO4 after structural relaxation, from Alexandria.

abc: 6.342 6.310 6.605
angles: 90.00 94.58 90.00
Fractional coordinates of all 14 atoms:
Na  0.159  0.250  0.066
Na  0.316  0.250  0.621
Na  0.684  0.750  0.379
Na  0.841  0.750  0.934
W  0.327  0.750  0.845
W  0.673  0.250  0.155
O  0.153  0.520  0.806
O  0.153  0.980  0.806
O  0.439  0.750  0.104
O  0.456  0.250  0.319
O  0.544  0.750  0.681
O  0.561  0.250  0.896
O  0.847  0.020  0.194
O  0.847  0.480  0.194

Calculated values
Fermi-level density of states ... 0.0 states/eV/f.u.
Calculated total energy ... -86.6 eV per cell
SG ... P2_1/m (11)